Computed, not measured: AlSi2Hg after structural relaxation at the PBE-GGA level of DFT.

Lattice parameters (Å, degrees): 3.1158 3.1158 7.4915 90.00 90.00 90.00
Fractional coordinates of all 4 atoms:
Al1 0.0000 0.0000 0.0000
Si1 0.0000 0.0000 0.6003
Si2 0.5000 0.5000 0.7825
Hg1 0.5000 0.5000 0.2898

The calculation puts the size of the total moment at 0.00 μB per cell. Its symmetry is P4mm. The distance to the lowest polymorph of the same formula is 117 meV per atom. As for the uncorrected formation energy: 0.362 eV/atom.

***

Computed, not measured: AlSiHg2 after structural relaxation at the PBE-GGA level of DFT.

Lattice parameters (Å, degrees): 3.2696 3.2696 9.2062 90.00 90.00 119.80
Fractional coordinates of all 4 atoms:
Al1 0.0000 0.0000 0.0000
Si1 0.0000 0.0000 0.5000
Hg1 0.5000 0.5000 0.2508
Hg2 0.5000 0.5000 0.7492

The calculation puts the size of the total moment at 0.00 μB per cell. Its symmetry is Cmmm. As for the uncorrected formation energy: 0.414 eV/atom.

***

Computed, not measured: AlSi2Hg after structural relaxation at the PBE-GGA level of DFT.

Lattice parameters (Å, degrees): 2.8098 2.8098 9.6973 90.00 90.00 90.16
Fractional coordinates of all 4 atoms:
Al1 0.0000 0.0000 0.0000
Si1 0.5000 0.5000 0.1953
Si2 0.5000 0.5000 0.8047
Hg1 0.0000 0.0000 0.5000

The calculation puts the size of the total moment at 0.00 μB per cell. Its symmetry is Cmmm. The distance to the lowest polymorph of the same formula is 145 meV per atom. As for the uncorrected formation energy: 0.390 eV/atom.

***

Computed, not measured: AlSi2Hg after structural relaxation at the PBE-GGA level of DFT.

Lattice parameters (Å, degrees): 2.8041 3.6459 7.6025 90.00 90.00 90.00
Fractional coordinates of all 4 atoms:
Al1 0.0000 0.0000 0.0000
Si1 0.5000 0.5000 0.1812
Si2 0.5000 0.5000 0.8188
Hg1 0.0000 0.0000 0.5000

The calculation puts the size of the total moment at 0.00 μB per cell. Its symmetry is Pmmm. The distance to the lowest polymorph of the same formula is 152 meV per atom. As for the uncorrected formation energy: 0.397 eV/atom.

***

Computed, not measured: AlSi2Hg after structural relaxation at the PBE-GGA level of DFT.

Lattice parameters (Å, degrees): 3.1157 3.1157 7.5735 90.00 90.00 98.51
Fractional coordinates of all 4 atoms:
Al1 0.0000 0.0000 0.0000
Si1 0.0000 0.0000 0.4158
Si2 0.5000 0.5000 0.2231
Hg1 0.5000 0.5000 0.7156

The calculation puts the size of the total moment at 0.00 μB per cell. Its symmetry is Cmm2. The distance to the lowest polymorph of the same formula is 131 meV per atom. As for the uncorrected formation energy: 0.376 eV/atom.

***

Computed, not measured: AlSi4Hg after structural relaxation at the PBE-GGA level of DFT.

Lattice parameters (Å, degrees): 5.2873 5.2873 5.2873 60.00 60.00 60.00
Fractional coordinates of all 6 atoms:
Al1 0.0000 0.0000 0.0000
Si1 0.3743 0.3743 0.3743
Si2 0.3743 0.3743 0.8771
Si3 0.3743 0.8771 0.3743
Si4 0.8771 0.3743 0.3743
Hg1 0.7500 0.7500 0.7500

The calculation puts the size of the total moment at 0.00 μB per cell. Its symmetry is F-43m. As for the uncorrected formation energy: 0.538 eV/atom.

***

Computed, not measured: AlSi2Hg after structural relaxation at the PBE-GGA level of DFT.

Lattice parameters (Å, degrees): 11.1170 11.1170 11.1170 14.56 14.56 14.56
Fractional coordinates of all 4 atoms:
Al1 0.0000 0.0000 0.0000
Si1 0.2651 0.2651 0.2651
Si2 0.7349 0.7349 0.7349
Hg1 0.5000 0.5000 0.5000

The calculation puts the size of the total moment at 0.00 μB per cell. Its symmetry is R-3m. The distance to the lowest polymorph of the same formula is 182 meV per atom. As for the uncorrected formation energy: 0.426 eV/atom.

***

Computed, not measured: AlSiHg2 after structural relaxation at the PBE-GGA level of DFT.

Lattice parameters (Å, degrees): 9.1721 9.1721 9.1721 151.29 151.29 41.05
Fractional coordinates of all 8 atoms:
Al1 0.0000 0.0000 0.0000
Al2 0.7500 0.2500 0.5000
Si1 0.2500 0.7500 0.5000
Si2 0.5000 0.5000 0.0000
Hg1 0.1221 0.6250 0.9971
Hg2 0.3750 0.3721 0.4971
Hg3 0.6279 0.1250 0.0029
Hg4 0.8750 0.8779 0.5029

The calculation puts the size of the total moment at 0.00 μB per cell. Its symmetry is I-42d. As for the uncorrected formation energy: 0.377 eV/atom.

***

Computed, not measured: AlSiHg2 after structural relaxation at the PBE-GGA level of DFT.

Lattice parameters (Å, degrees): 3.0350 3.0350 9.2929 90.00 90.00 91.42
Fractional coordinates of all 4 atoms:
Al1 0.0000 0.0000 0.0000
Si1 0.5000 0.5000 0.8254
Hg1 0.0000 0.0000 0.5484
Hg2 0.5000 0.5000 0.2435

The calculation puts the size of the total moment at 0.00 μB per cell. Its symmetry is Cmm2. As for the uncorrected formation energy: 0.284 eV/atom.

***

Computed, not measured: AlSiHg3 after structural relaxation at the PBE-GGA level of DFT.

Lattice parameters (Å, degrees): 5.1744 5.1744 5.1744 90.00 90.00 90.00
Fractional coordinates of all 5 atoms:
Al1 0.0000 0.0000 0.0000
Si1 0.5000 0.5000 0.5000
Hg1 0.0000 0.5000 0.5000
Hg2 0.5000 0.0000 0.5000
Hg3 0.5000 0.5000 0.0000

The calculation puts the size of the total moment at 0.00 μB per cell. Its symmetry is Pm-3m. The distance to the lowest polymorph of the same formula is 0 meV per atom. As for the uncorrected formation energy: 0.479 eV/atom.

***

Computed, not measured: Al2Si2Hg after structural relaxation at the PBE-GGA level of DFT.

Lattice parameters (Å, degrees): 6.6615 6.6615 6.6615 145.45 145.45 49.66
Fractional coordinates of all 5 atoms:
Al1 0.1102 0.1102 0.0000
Al2 0.8898 0.8898 0.0000
Si1 0.2500 0.7500 0.5000
Si2 0.7500 0.2500 0.5000
Hg1 0.5000 0.5000 0.0000

The calculation puts the size of the total moment at 0.00 μB per cell. Its symmetry is I4/mmm. The distance to the lowest polymorph of the same formula is 92 meV per atom. As for the uncorrected formation energy: 0.234 eV/atom.

***

Computed, not measured: AlSi2Hg after structural relaxation at the PBE-GGA level of DFT.

Lattice parameters (Å, degrees): 5.9926 5.9926 4.7546 112.97 112.97 27.98
Fractional coordinates of all 4 atoms:
Al1 0.0000 0.0000 0.0000
Si1 0.2839 0.2839 0.7851
Si2 0.7161 0.7161 0.2149
Hg1 0.5000 0.5000 0.5000

The calculation puts the size of the total moment at 0.00 μB per cell. Its symmetry is C2/m. The distance to the lowest polymorph of the same formula is 172 meV per atom. As for the uncorrected formation energy: 0.417 eV/atom.

***

Computed, not measured: Sm6AlHg after structural relaxation at the PBE-GGA level of DFT.

Lattice parameters (Å, degrees): 4.8625 4.8625 9.7427 90.00 90.00 90.00
Fractional coordinates of all 8 atoms:
Sm1 0.0000 0.0000 0.0000
Sm2 0.0000 0.0000 0.5000
Sm3 0.0000 0.5000 0.2442
Sm4 0.0000 0.5000 0.7558
Sm5 0.5000 0.0000 0.2442
Sm6 0.5000 0.0000 0.7558
Al1 0.5000 0.5000 0.0000
Hg1 0.5000 0.5000 0.5000

For the energy of formation from the pure elements, the calculation gives -0.168 eV per atom. The calculation puts the size of the total moment at 0.00 μB per cell. Its symmetry is P4/mmm.

***

Computed, not measured: SmAlHg after structural relaxation at the PBE-GGA level of DFT.

Lattice parameters (Å, degrees): 5.9817 5.9817 5.9817 133.87 102.20 95.49
Fractional coordinates of all 6 atoms:
Sm1 0.0000 0.0000 0.0000
Sm2 0.5565 0.0565 0.5000
Al1 0.3903 0.6921 0.6983
Al2 0.9938 0.6921 0.3017
Hg1 0.1414 0.3628 0.7786
Hg2 0.5843 0.3628 0.2214

For the energy of formation from the pure elements, the calculation gives -0.475 eV per atom. The calculation puts the size of the total moment at 0.01 μB per cell. Its symmetry is Imm2.

***

Computed, not measured: SmAl2Hg2 after structural relaxation at the PBE-GGA level of DFT.

Lattice parameters (Å, degrees): 4.4335 4.4335 11.2290 90.00 90.00 90.00
Fractional coordinates of all 10 atoms:
Sm1 0.2500 0.2500 0.2469
Sm2 0.7500 0.7500 0.7531
Al1 0.2500 0.2500 0.8631
Al2 0.2500 0.7500 0.5000
Al3 0.7500 0.2500 0.5000
Al4 0.7500 0.7500 0.1369
Hg1 0.2500 0.2500 0.6374
Hg2 0.2500 0.7500 0.0000
Hg3 0.7500 0.2500 0.0000
Hg4 0.7500 0.7500 0.3626

For the energy of formation from the pure elements, the calculation gives -0.299 eV per atom. The calculation puts the size of the total moment at 0.00 μB per cell. Its symmetry is P4/nmm.

***

| no. | total DFT energy (no corrections) (eV/atom) |
| --- | --- |
| 1 | -3.360 |
| 2 | -2.029 |
| 3 | -3.332 |
| 4 | -3.326 |
| 5 | -3.347 |
| 6 | -3.751 |
| 7 | -3.296 |
| 8 | -2.065 |
| 9 | -2.158 |
| 10 | -1.535 |
| 11 | -3.493 |
| 12 | -3.305 |
| 13 | -4.212 |
| 14 | -3.396 |
| 15 | -2.860 |